Below is an optimized crystal structure of Y2TiTl3Te6, with properties calculated at the GGA-PBE level.

```
12
Lattice="3.761 -6.502 0.000 3.761 6.502 0.000 -2.514 0.000 8.161" Properties=species:S:1:pos:R:3 pbc="T T T"
Y 3.761 4.357 0.000
Y 3.761 -4.357 0.000
Ti 3.761 0.000 0.000
Tl -1.257 0.000 4.080
Tl 2.504 2.272 4.080
Tl 2.504 -2.272 4.080
Te 0.074 2.037 6.482
Te 1.403 0.000 1.736
Te 0.074 -2.037 6.482
Te 4.933 2.037 1.679
Te 3.604 0.000 6.424
Te 4.933 -2.037 1.679
```

Properties
Raw formation energy = -0.86 eV/atom
N(E_F) = 6.51 states/eV per cell
E = -0.175 Ha/atom
Total magnetic moment = 1.0 μB/cell

Below is an optimized crystal structure of ZrTi2Tl3Te6, with properties calculated at the GGA-PBE level.

```
12
Lattice="3.539 -6.139 0.000 3.539 6.139 0.000 -2.356 0.000 8.311" Properties=species:S:1:pos:R:3 pbc="T T T"
Zr 0.000 0.000 0.000
Ti 3.539 2.220 0.000
Ti 3.539 -2.220 0.000
Tl 2.362 4.236 4.156
Tl 2.362 0.000 4.156
Tl 2.362 -4.236 4.156
Te 1.225 2.082 1.712
Te 0.110 0.000 6.750
Te 1.225 -2.082 1.712
Te 3.499 2.082 6.599
Te 4.613 0.000 1.561
Te 3.499 -2.082 6.599
```

Properties
Raw formation energy = -0.56 eV/atom
N(E_F) = 4.46 states/eV per cell
E = -0.175 Ha/atom
Total magnetic moment = 2.9 μB/cell